Entry 1:
The following is a PBE calculation of a relaxed AcPbW crystal, from OQMD via LeMat-Bulk.

Structure (POSCAR):
```
AcPbW
1.0
0.000 3.771 3.771
3.771 0.000 3.771
3.771 3.771 0.000
Ac Pb W
1 1 1
direct
0.000 0.000 0.000 Ac
0.250 0.250 0.250 Pb
0.750 0.750 0.750 W
```

Results
As for the space group: F-43m.

---

Entry 2:
The following is a PBE calculation of a relaxed BaMgAsIr crystal, from OQMD via LeMat-Bulk.

Structure (POSCAR):
```
BaMgAsIr
1.0
-1.938 -3.208 3.272
-3.435 -3.284 -1.472
1.140 -4.835 -0.283
Ir As Mg Ba
1 1 1 1
direct
0.250 0.250 0.250 Ir
0.000 0.000 0.000 As
0.750 0.750 0.750 Mg
0.500 0.500 0.500 Ba
```

Results
As for the space group: F-43m.

---

Calculated VASP energy in order - -16.041 -16.280 eV per cell
Calculated energy above the most stable polymorph in this dataset in order - 632 160 meV per atom
Calculated total magnetization in order - 3.55 0.01 μB/f.u.